First-principles (GGA-PBE) data for an optimized crystal structure of TmCu2Si, as listed in Alexandria.

```
8
Lattice="3.8407 0.0000 0.0000 0.0000 3.8407 0.0000 0.0000 0.0000 9.0626" Properties=species:S:1:pos:R:3 pbc="T T T"
Tm 0.9602 0.9602 2.1347
Tm 2.8805 2.8805 6.9280
Cu 0.9602 0.9602 8.3786
Cu 0.9602 2.8805 4.5313
Cu 2.8805 0.9602 4.5313
Cu 2.8805 2.8805 0.6840
Si 0.9602 0.9602 5.9580
Si 2.8805 2.8805 3.1047
```

Calculated values
Density of states at the Fermi level ... 1.9 states/eV/f.u.
Magnetization ... 0.00 μB per formula unit
Space group ... No. 129
Total energy ... -4.918 eV per atom